The following is a DFT calculation (GGA-PBEsol) of a relaxed structure of MoSeBr2.

The structure in POSCAR format:
```
MoSeBr2
1.0
6.6561 0.0000 0.0000
0.0000 6.6561 0.0000
0.0000 0.0000 6.6561
Mo Se Br
4 4 8
Direct
0.0000 0.0000 0.0000
0.0000 0.5000 0.5000
0.5000 0.0000 0.5000
0.5000 0.5000 0.0000
0.0000 0.0000 0.5000
0.0000 0.5000 0.0000
0.5000 0.0000 0.0000
0.5000 0.5000 0.5000
0.2500 0.2500 0.2500
0.2500 0.2500 0.7500
0.2500 0.7500 0.2500
0.2500 0.7500 0.7500
0.7500 0.2500 0.2500
0.7500 0.2500 0.7500
0.7500 0.7500 0.2500
0.7500 0.7500 0.7500
```

Raw formation energy   74.87 kJ per mole of atoms
Final energy   -4.06 eV per atom
Energy above the most stable polymorph in this dataset   570 meV per atom
DOS(E_F)   0.846 states/eV/atom
Symmetry   Fm-3m, No. 225

---

The following is a DFT calculation (GGA-PBEsol) of a relaxed structure of LiAl2H6BrO6.

The structure in POSCAR format:
```
LiAl2H6BrO6
1.0
5.1050 0.0000 0.0000
-2.5525 4.4211 0.0000
0.0000 0.0000 14.6394
Li Al H Br O
2 4 12 2 12
Direct
0.0000 0.0000 0.0000
0.0000 0.0000 0.5000
0.3333 0.6667 0.0000
0.3333 0.6667 0.5000
0.6667 0.3333 0.0000
0.6667 0.3333 0.5000
0.0000 0.3130 0.1310
0.0000 0.3130 0.3690
0.0000 0.6870 0.6310
0.0000 0.6870 0.8690
0.3130 0.0000 0.1310
0.3130 0.0000 0.3690
0.3130 0.3130 0.6310
0.3130 0.3130 0.8690
0.6870 0.0000 0.6310
0.6870 0.0000 0.8690
0.6870 0.6870 0.1310
0.6870 0.6870 0.3690
0.0000 0.0000 0.2500
0.0000 0.0000 0.7500
0.0000 0.3665 0.0664
0.0000 0.3665 0.4336
0.0000 0.6335 0.5664
0.0000 0.6335 0.9336
0.3665 0.0000 0.0664
0.3665 0.0000 0.4336
0.3665 0.3665 0.5664
0.3665 0.3665 0.9336
0.6335 0.0000 0.5664
0.6335 0.0000 0.9336
0.6335 0.6335 0.0664
0.6335 0.6335 0.4336
```

Final energy   -5.75 eV per atom
DOS(E_F)   0.000 states/eV/atom
Symmetry   P6_3/mcm, No. 193

---

The following is a DFT calculation (GGA-PBEsol) of a relaxed structure of KTcSb2.

The structure in POSCAR format:
```
KTcSb2
1.0
6.5301 0.0000 0.0000
0.0000 6.5301 0.0000
0.0000 0.0000 14.8137
K Tc Sb
4 4 8
Direct
0.0000 0.0000 0.0000
0.0000 0.5000 0.2500
0.5000 0.0000 0.7500
0.5000 0.5000 0.5000
0.0000 0.0000 0.5000
0.0000 0.5000 0.7500
0.5000 0.0000 0.2500
0.5000 0.5000 0.0000
0.0037 0.2500 0.6250
0.2500 0.5037 0.8750
0.2500 0.9963 0.3750
0.4963 0.2500 0.1250
0.5037 0.7500 0.1250
0.7500 0.0037 0.3750
0.7500 0.4963 0.8750
0.9963 0.7500 0.6250
```

Raw formation energy   23.61 kJ per mole of atoms
Final energy   -5.13 eV per atom
Energy above the most stable polymorph in this dataset   414 meV per atom
Symmetry   I-42d, No. 122

---

The following is a DFT calculation (GGA-PBEsol) of a relaxed structure of Zr3Sn4Sb2.

The structure in POSCAR format:
```
Zr3Sn4Sb2
1.0
2.7440 -4.7641 0.0000
2.7440 4.7641 0.0000
-0.0406 0.0000 7.5824
Zr Sn Sb
3 4 2
Direct
0.0000 0.0000 0.0000
0.0015 0.4849 0.6626
0.5151 0.9985 0.3374
0.3321 0.6679 0.0000
0.3368 0.1532 0.6696
0.6696 0.3304 0.0000
0.8468 0.6632 0.3304
0.1790 0.3292 0.3329
0.6708 0.8210 0.6671
```

Raw formation energy   -54.01 kJ per mole of atoms
Final energy   -6.50 eV per atom
DOS(E_F)   0.314 states/eV/atom
Symmetry   C2, No. 5

---

The following is a DFT calculation (GGA-PBEsol) of a relaxed structure of AsAuSe2O.

The structure in POSCAR format:
```
AsAuSe2O
1.0
4.4642 0.0000 0.0000
0.0000 4.4642 0.0000
0.0000 0.0000 4.3176
As Au Se O
1 1 2 1
Direct
0.0000 0.0000 0.0000
0.5000 0.5000 0.0000
0.0000 0.5000 0.5000
0.5000 0.0000 0.5000
0.0000 0.0000 0.5000
```

Raw formation energy   50.26 kJ per mole of atoms
Final energy   -3.88 eV per atom
DOS(E_F)   0.743 states/eV/atom
Symmetry   P4/mmm, No. 123

---

The following is a DFT calculation (GGA-PBEsol) of a relaxed structure of InReGeRh2.

The structure in POSCAR format:
```
InReGeRh2
1.0
4.4405 0.0000 0.0000
0.0000 4.4405 0.0000
0.0000 0.0000 4.5917
In Re Ge Rh
1 1 1 2
Direct
0.0000 0.0000 0.0000
0.5000 0.5000 0.0000
0.5000 0.5000 0.5000
0.0000 0.5000 0.5000
0.5000 0.0000 0.5000
```

E_form   804 meV per atom
Final energy   -6.70 eV per atom
DOS(E_F)   1.264 states/eV/atom
Symmetry   P4/mmm, No. 123

---

The following is a DFT calculation (GGA-PBEsol) of a relaxed structure of CaY.

The structure in POSCAR format:
```
CaY
1.0
3.9744 0.0000 0.0000
0.0000 5.8311 0.0000
0.0000 0.0000 12.0647
Ca Y
4 4
Direct
0.0000 0.2500 0.1363
0.0000 0.7500 0.8637
0.5000 0.2500 0.8637
0.5000 0.7500 0.1363
0.0000 0.2500 0.6103
0.0000 0.7500 0.3897
0.5000 0.2500 0.3897
0.5000 0.7500 0.6103
```

E_form   107 meV per atom
Final energy   -4.37 eV per atom
Energy above the most stable polymorph in this dataset   54 meV per atom
DOS(E_F)   1.785 states/eV/atom
Symmetry   Cmme, No. 67

---

The following is a DFT calculation (GGA-PBEsol) of a relaxed structure of AgSeBr2.

The structure in POSCAR format:
```
AgSeBr2
1.0
6.9889 0.0000 0.0000
0.0000 6.9889 0.0000
0.0000 0.0000 6.9889
Ag Se Br
4 4 8
Direct
0.0000 0.0000 0.0000
0.0000 0.5000 0.5000
0.5000 0.0000 0.5000
0.5000 0.5000 0.0000
0.2500 0.2500 0.7500
0.2500 0.7500 0.2500
0.7500 0.2500 0.2500
0.7500 0.7500 0.7500
0.0000 0.0000 0.5000
0.0000 0.5000 0.0000
0.2500 0.2500 0.2500
0.2500 0.7500 0.7500
0.5000 0.0000 0.0000
0.5000 0.5000 0.5000
0.7500 0.2500 0.7500
0.7500 0.7500 0.2500
```

Raw formation energy   44.56 kJ per mole of atoms
Final energy   -2.26 eV per atom
Energy above the most stable polymorph in this dataset   404 meV per atom
DOS(E_F)   0.858 states/eV/atom
Symmetry   F-43m, No. 216